1) # PmSc2Pb

An optimized crystal structure of PmSc2Pb (PBE-GGA, the Alexandria database).

abc: 4.634 4.737 4.737
angles: 90.00 90.00 90.00
Each line ends with the local moment (μB).
Fractional positions:
1 Pb 0.500 0.000 0.000  -0.01
2 Pm 0.500 0.500 0.500  0.05
3 Sc 0.000 0.500 0.000  0.15
4 Sc 0.000 0.000 0.500  0.15

Output
symmetry: P4/mmm (123)

2) # PmSc2Pb

An optimized crystal structure of PmSc2Pb (PBE-GGA, the Alexandria database).

abc: 5.244 5.244 5.244
angles: 60.00 60.00 60.00
Each line ends with the local moment (μB).
Fractional positions:
1 Sc 0.250 0.250 0.250  0.27
2 Pb 0.500 0.500 0.500  -0.02
3 Pm 0.000 0.000 0.000  0.40
4 Sc 0.750 0.750 0.750  0.27

Output
symmetry: Fm-3m (225)

What should be chosen as the least stable of them? Choose 2).

1) # Pm2ScPb3

An optimized crystal structure of Pm2ScPb3 (PBE-GGA, the Alexandria database).

abc: 6.464 6.733 8.770
angles: 90.00 111.62 90.00
Fractional positions:
1 Pm 0.943 0.924 0.327
2 Pb 0.852 0.424 0.280
3 Sc 0.500 0.174 0.000
4 Sc 0.500 0.674 0.000
5 Pb 0.428 0.924 0.280
6 Pm 0.384 0.424 0.327
7 Pb 0.000 0.174 0.000
8 Pb 0.148 0.924 0.720
9 Pb 0.572 0.424 0.720
10 Pb 0.000 0.674 0.000
11 Pm 0.057 0.424 0.673
12 Pm 0.616 0.924 0.673

Output
symmetry: Cmcm (63)

2) # Pm2ScPb3

An optimized crystal structure of Pm2ScPb3 (PBE-GGA, the Alexandria database).

abc: 6.164 8.916 8.916
angles: 122.64 104.41 104.41
Fractional positions:
1 Sc 0.750 0.408 0.592
2 Pb 0.980 0.799 0.645
3 Pm 0.750 0.759 0.241
4 Pm 0.250 0.241 0.759
5 Sc 0.250 0.592 0.408
6 Pm 0.750 0.080 0.920
7 Pb 0.500 0.000 0.500
8 Pb 0.000 0.500 0.000
9 Pb 0.480 0.645 0.799
10 Pb 0.520 0.355 0.201
11 Pm 0.250 0.920 0.080
12 Pb 0.020 0.201 0.355

Output
symmetry: C2/c (15)

What should be chosen as the least stable of them? Choose 2).

1) # Pm5Pb2Se2

An optimized crystal structure of Pm5Pb2Se2 (PBE-GGA, the Alexandria database).

abc: 9.173 6.575 11.256
angles: 106.98 122.78 90.00
Fractional positions:
1 Pb 0.564 0.076 0.189
2 Pm 0.404 0.333 0.703
3 Pm 0.322 0.136 0.309
4 Pm 0.188 0.185 0.907
5 Se 0.922 0.782 0.601
6 Pm 0.125 0.715 0.466
7 Se 0.500 0.482 0.000
8 Pm 0.188 0.686 0.907
9 Pb 0.791 0.376 0.788
10 Pm 0.678 0.828 0.691
11 Pm 0.875 0.249 0.534
12 Pm 0.596 0.630 0.297
13 Se 0.000 0.982 0.000
14 Pb 0.436 0.887 0.811
15 Se 0.078 0.182 0.399
16 Pm 0.812 0.779 0.093
17 Pm 0.812 0.277 0.093
18 Pb 0.209 0.588 0.212

Output
symmetry: C2/m (12)

2) # Pm5Pb2Se2

An optimized crystal structure of Pm5Pb2Se2 (PBE-GGA, the Alexandria database).

abc: 8.287 8.727 8.727
angles: 123.97 90.00 90.00
Fractional positions:
1 Pm 0.839 0.788 0.534
2 Pm 0.339 0.966 0.712
3 Pb 0.000 0.794 0.206
4 Pm 0.500 0.500 0.500
5 Pm 0.339 0.712 0.966
6 Se 0.143 0.642 0.642
7 Se 0.357 0.142 0.142
8 Se 0.643 0.858 0.858
9 Pm 0.661 0.034 0.288
10 Pb 0.500 0.706 0.294
11 Pb 0.000 0.206 0.794
12 Pm 0.000 0.000 0.000
13 Pm 0.661 0.288 0.034
14 Pb 0.500 0.294 0.706
15 Pm 0.161 0.466 0.212
16 Pm 0.161 0.212 0.466
17 Pm 0.839 0.534 0.788
18 Se 0.857 0.358 0.358

Output
symmetry: Cmce (64)

What should be chosen as the least stable of them? Choose 2).

1) # Pm4PbSe2

An optimized crystal structure of Pm4PbSe2 (PBE-GGA, the Alexandria database).

abc: 8.208 8.208 8.216
angles: 108.78 108.77 110.83
Fractional positions:
1 Pb 0.000 0.000 0.000
2 Se 0.625 0.375 0.250
3 Pm 0.390 0.072 0.318
4 Pm 0.322 0.140 0.818
5 Pm 0.321 0.504 0.182
6 Se 0.625 0.375 0.750
7 Pm 0.496 0.679 0.818
8 Se 0.625 0.875 0.250
9 Pm 0.860 0.678 0.182
10 Pm 0.928 0.610 0.682
11 Pm 0.929 0.246 0.318
12 Se 0.125 0.375 0.750
13 Pb 0.250 0.750 0.500
14 Pm 0.754 0.071 0.682

Output
symmetry: Fddd (70)

2) # Pm4PbSe2

An optimized crystal structure of Pm4PbSe2 (PBE-GGA, the Alexandria database).

abc: 4.330 7.132 14.166
angles: 90.00 90.00 107.67
Fractional positions:
1 Pm 0.231 0.463 0.879
2 Pm 0.500 0.000 0.500
3 Pb 0.391 0.781 0.250
4 Pm 0.060 0.120 0.250
5 Pm 0.500 0.000 0.000
6 Se 0.135 0.270 0.060
7 Se 0.865 0.730 0.560
8 Pm 0.769 0.537 0.379
9 Se 0.865 0.730 0.940
10 Pm 0.940 0.880 0.750
11 Se 0.135 0.270 0.440
12 Pm 0.231 0.463 0.621
13 Pb 0.609 0.219 0.750
14 Pm 0.769 0.537 0.121

Output
symmetry: Cmcm (63)

What should be chosen as the least stable of them? Choose 1).